Density functional theory data (SCAN) for a PBEsol-optimized structure of SrNi2Ir.

The value obtained for the total energy is -30.570 eV per atom. Its symmetry is No. 166. As for the magnetization: 0.0002 μB/atom.

```
4
Lattice="2.799 0.000 0.000 1.399 2.424 0.000 1.399 0.808 9.028" Properties=species:S:1:pos:R:3 pbc="T T T"
Ir 0.000 0.000 0.000
Ni 1.399 0.808 1.957
Ni 4.198 2.424 7.071
Sr 2.799 1.616 4.514
```

=====

Density functional theory data (SCAN) for a PBEsol-optimized structure of SrNi2Ir.

The value obtained for the total energy is -31.629 eV per atom. Its symmetry is No. 166. As for the magnetization: 0.2218 μB/atom.

```
4
Lattice="4.147 0.000 0.000 -2.073 3.591 -0.039 0.000 -2.339 5.101" Properties=species:S:1:pos:R:3 pbc="T T T"
Sr 2.073 0.000 0.000
Ir 0.000 -1.169 2.551
Ni 2.073 0.031 2.830
Ni 0.000 1.222 2.232
```

=====

Density functional theory data (SCAN) for a PBEsol-optimized structure of SrNi2Ir.

The value obtained for the total energy is -30.721 eV per atom. Its symmetry is No. 216. As for the magnetization: 0.4527 μB/atom.

```
4
Lattice="-0.745 -4.012 -1.829 3.429 -2.439 -1.512 1.233 -3.710 2.170" Properties=species:S:1:pos:R:3 pbc="T T T"
Ir 1.959 -5.081 -0.585
Ni 0.000 0.000 0.000
Ni 2.938 -7.621 -0.878
Sr 0.979 -2.540 -0.293
```

=====

Density functional theory data (SCAN) for a PBEsol-optimized structure of SrNi2Ir.

The value obtained for the total energy is -31.592 eV per atom. Its symmetry is No. 8. As for the magnetization: 0.1651 μB/atom.

```
4
Lattice="-2.594 2.028 2.506 -4.003 0.326 -0.993 -3.200 -3.624 3.051" Properties=species:S:1:pos:R:3 pbc="T T T"
Sr -4.907 -0.676 2.305
Ir -7.547 -1.830 3.930
Ni -3.187 -3.566 3.018
Ni -2.254 0.542 0.644
```

=====

Density functional theory data (SCAN) for a PBEsol-optimized structure of Ta2NiIr.

The value obtained for the total energy is -55.600 eV per atom. Its symmetry is No. 123. As for the magnetization: 0.0003 μB/atom.

```
4
Lattice="3.843 0.000 0.000 0.000 3.923 0.000 0.000 0.000 3.923" Properties=species:S:1:pos:R:3 pbc="T T T"
Ni 1.921 0.000 0.000
Ir 1.921 1.961 1.961
Ta 0.000 0.000 1.961
Ta 0.000 1.961 0.000
```

=====

Density functional theory data (SCAN) for a PBEsol-optimized structure of TaNi2Ir.

The value obtained for the total energy is -42.678 eV per atom. Its symmetry is No. 123. As for the magnetization: 0.0000 μB/atom.

```
4
Lattice="3.148 0.000 0.000 0.000 3.148 0.000 0.000 0.000 5.296" Properties=species:S:1:pos:R:3 pbc="T T T"
Ir 1.574 1.574 2.648
Ni 0.000 0.000 4.023
Ni 0.000 0.000 1.273
Ta 1.574 1.574 0.000
```

=====

Density functional theory data (SCAN) for a PBEsol-optimized structure of Ta2Ni2Ir.

The value obtained for the total energy is -47.828 eV per atom. Its symmetry is No. 127. As for the magnetization: 0.0000 μB/atom.

```
10
Lattice="3.101 0.000 0.000 0.000 6.679 0.000 0.000 0.000 6.679" Properties=species:S:1:pos:R:3 pbc="T T T"
Ni 0.000 2.510 5.849
Ni 0.000 5.849 4.170
Ni 0.000 4.170 0.830
Ni 0.000 0.830 2.510
Ir 0.000 0.000 0.000
Ir 0.000 3.340 3.340
Ta 1.550 1.179 4.519
Ta 1.550 4.519 5.500
Ta 1.550 5.500 2.161
Ta 1.550 2.161 1.179
```

=====

Density functional theory data (SCAN) for a PBEsol-optimized structure of Ta2NiIr.

The value obtained for the total energy is -55.469 eV per atom. Its symmetry is No. 119. As for the magnetization: 0.0000 μB/atom.

```
4
Lattice="3.802 0.000 0.000 0.000 3.802 0.000 -1.901 -1.901 4.139" Properties=species:S:1:pos:R:3 pbc="T T T"
Ir 1.901 1.901 0.000
Ni 0.000 1.901 2.070
Ta 0.000 0.000 0.000
Ta 1.901 0.000 2.070
```

=====

Density functional theory data (SCAN) for a PBEsol-optimized structure of TaNi2Ir.

The value obtained for the total energy is -42.736 eV per atom. Its symmetry is No. 65. As for the magnetization: 0.0000 μB/atom.

```
4
Lattice="2.856 0.024 0.033 -0.038 4.348 0.072 -0.038 -1.263 4.161" Properties=species:S:1:pos:R:3 pbc="T T T"
Ir 1.428 0.012 0.017
Ni -0.019 -0.632 2.081
Ni -0.019 2.174 0.036
Ta 1.390 1.555 2.133
```

=====

Density functional theory data (SCAN) for a PBEsol-optimized structure of Ta2NiIr.

The value obtained for the total energy is -55.601 eV per atom. Its symmetry is No. 139. As for the magnetization: 0.0000 μB/atom.

```
4
Lattice="3.928 0.000 0.000 0.000 3.928 0.000 -1.964 -1.964 3.832" Properties=species:S:1:pos:R:3 pbc="T T T"
Ni 1.964 1.964 0.000
Ir 0.000 0.000 0.000
Ta 0.000 1.964 1.916
Ta 1.964 0.000 1.916
```

=====

Density functional theory data (SCAN) for a PBEsol-optimized structure of Ta2NiIr.

The value obtained for the total energy is -55.514 eV per atom. Its symmetry is No. 99. As for the magnetization: 0.0000 μB/atom.

```
4
Lattice="3.190 0.000 0.000 0.000 3.190 0.000 0.000 0.000 5.913" Properties=species:S:1:pos:R:3 pbc="T T T"
Ir 0.000 0.000 3.000
Ni 1.595 1.595 4.497
Ta 0.000 0.000 5.696
Ta 1.595 1.595 1.588
```

=====

Density functional theory data (SCAN) for a PBEsol-optimized structure of TaNi2Ir.

The value obtained for the total energy is -42.949 eV per atom. Its symmetry is No. 139. As for the magnetization: 0.0000 μB/atom.

```
4
Lattice="3.719 0.000 0.000 0.000 3.719 0.000 -1.860 -1.860 3.744" Properties=species:S:1:pos:R:3 pbc="T T T"
Ni 1.860 0.000 1.872
Ni 0.000 1.860 1.872
Ir 1.860 1.860 0.000
Ta 0.000 0.000 0.000
```

=====

Density functional theory data (SCAN) for a PBEsol-optimized structure of TaNi2Ir.

The value obtained for the total energy is -43.014 eV per atom. Its symmetry is No. 123. As for the magnetization: 0.0000 μB/atom.

```
4
Lattice="-0.205 3.653 -0.619 -3.703 -0.180 0.163 0.132 0.634 3.698" Properties=species:S:1:pos:R:3 pbc="T T T"
Ni -1.852 -0.090 0.081
Ni -0.102 1.827 -0.310
Ir 0.066 0.317 1.849
Ta -1.888 2.054 1.621
```

=====

Density functional theory data (SCAN) for a PBEsol-optimized structure of Ta2NiIr.

The value obtained for the total energy is -55.187 eV per atom. Its symmetry is No. 166. As for the magnetization: 0.0000 μB/atom.

```
4
Lattice="-2.054 0.375 1.880 -0.068 -1.559 2.336 4.198 5.623 5.565" Properties=species:S:1:pos:R:3 pbc="T T T"
Ir 1.038 2.219 4.890
Ni 0.000 0.000 0.000
Ta 0.476 1.057 2.409
Ta 1.601 3.382 7.372
```

=====

Density functional theory data (SCAN) for a PBEsol-optimized structure of TaNi2Ir.

The value obtained for the total energy is -42.989 eV per atom. Its symmetry is No. 119. As for the magnetization: 0.0000 μB/atom.

```
4
Lattice="3.714 0.000 0.000 0.000 3.714 0.000 -1.857 -1.857 3.772" Properties=species:S:1:pos:R:3 pbc="T T T"
Ni 0.000 0.000 0.000
Ni 0.000 1.857 1.886
Ir 1.857 0.000 1.886
Ta 1.857 1.857 0.000
```